# TaBIrN2, relaxed, DFT GGA-PBE
# E: -37.2 eV per cell
# ΔE_f (raw): 1.370 eV/atom
# size of the total moment: 0.00 μB per cell
# symmetry: P4/mmm
data_TaBIrN2
_cell_length_a 3.7635
_cell_length_b 4.3135
_cell_length_c 3.7635
_cell_angle_alpha 90.00
_cell_angle_beta 90.00
_cell_angle_gamma 90.00
_space_group_name_H-M_alt 'P 1'
_space_group_IT_number 1
loop_
_space_group_symop_operation_xyz
'x,y,z'
loop_
_atom_site_label
_atom_site_type_symbol
_atom_site_fract_x
_atom_site_fract_y
_atom_site_fract_z
N1 N 0.0000 0.0000 0.5000
N2 N 0.5000 0.0000 0.0000
Ir1 Ir 0.0000 0.0000 0.0000
B1 B 0.0000 0.5000 0.0000
Ta1 Ta 0.5000 0.5000 0.5000

# BTe2IrN, relaxed, DFT GGA-PBE
# E: -27.2 eV per cell
# ΔE_f (raw): 0.587 eV/atom
# size of the total moment: 0.00 μB per cell
# energy above the most stable polymorph in this dataset: 0.0000 eV per atom
# symmetry: P4/mmm
data_BTe2IrN
_cell_length_a 5.3081
_cell_length_b 5.3081
_cell_length_c 2.8704
_cell_angle_alpha 90.00
_cell_angle_beta 90.00
_cell_angle_gamma 90.00
_space_group_name_H-M_alt 'P 1'
_space_group_IT_number 1
loop_
_space_group_symop_operation_xyz
'x,y,z'
loop_
_atom_site_label
_atom_site_type_symbol
_atom_site_fract_x
_atom_site_fract_y
_atom_site_fract_z
B1 B 0.0000 0.0000 0.0000
Ir1 Ir 0.5000 0.5000 0.5000
Te1 Te 0.0000 0.5000 0.0000
Te2 Te 0.5000 0.0000 0.0000
N1 N 0.0000 0.0000 0.5000